Entry from the Alexandria database: an optimized crystal structure of La2CeSc2In5 (PBE).

Cell: 10.7934 10.7934 4.7191 Å, 90.00 90.00 90.00°
Last column: nearest neighbours and their distance in Å.
Element x y z (fractional)
La  0.1800  0.3200  0.0000  3 Sc 3.10-3.28
La  0.3200  0.8200  0.0000  3 Sc 3.10-3.28
La  0.6800  0.1800  0.0000  3 Sc 3.10-3.28
La  0.8200  0.6800  0.0000  3 Sc 3.10-3.28
Ce  0.0000  0.0000  0.0000  8 In 3.31
Ce  0.5000  0.5000  0.0000  8 In 3.31
Sc  0.1170  0.6170  0.0000  6 In 2.96-3.09, 3 La 3.10-3.28
Sc  0.3830  0.1170  0.0000  6 In 2.96-3.09, 3 La 3.10-3.28
Sc  0.6170  0.8830  0.0000  6 In 2.96-3.09, 3 La 3.10-3.28
Sc  0.8830  0.3830  0.0000  6 In 2.96-3.09, 3 La 3.10-3.28
In  0.0000  0.5000  0.5000  4 Sc 2.96, 4 In 3.24
In  0.0628  0.7938  0.5000  2 Sc 3.09, 3 In 3.24-3.29, 2 Ce 3.31
In  0.2062  0.0628  0.5000  2 Sc 3.09, 3 In 3.24-3.29, 2 Ce 3.31
In  0.2938  0.5628  0.5000  2 Sc 3.09, 3 In 3.24-3.29, 2 Ce 3.31
In  0.4372  0.2938  0.5000  2 Sc 3.09, 3 In 3.24-3.29, 2 Ce 3.31
In  0.5000  0.0000  0.5000  4 Sc 2.96, 4 In 3.24
In  0.5628  0.7062  0.5000  2 Sc 3.09, 3 In 3.24-3.29, 2 Ce 3.31
In  0.7062  0.4372  0.5000  2 Sc 3.09, 3 In 3.24-3.29, 2 Ce 3.31
In  0.7938  0.9372  0.5000  2 Sc 3.09, 3 In 3.24-3.29, 2 Ce 3.31
In  0.9372  0.2062  0.5000  2 Sc 3.09, 3 In 3.24-3.29, 2 Ce 3.31

Calculated values
- DOS(E_F) (states/eV per atom) = 1.451
- ΔH_f (0 K) (eV/atom) = -0.377
- magnetization (μB/f.u.) = 0.70
- volume (A^3/atom) = 27.49

=====

Entry from the Alexandria database: an optimized crystal structure of LaCeScIn (PBE).

Cell: 5.3741 5.3741 5.3741 Å, 60.00 60.00 60.00°
Last column: nearest neighbours and their distance in Å.
Element x y z (fractional)
La  0.0000  0.0000  0.0000  4 Ce 3.29, 4 In 3.29
Ce  0.7500  0.7500  0.7500  4 La 3.29, 4 Sc 3.29
Sc  0.5000  0.5000  0.5000  4 Ce 3.29, 4 In 3.29
In  0.2500  0.2500  0.2500  4 La 3.29, 4 Sc 3.29

Calculated values
- DOS(E_F) (states/eV per atom) = 1.832
- ΔH_f (0 K) (eV/atom) = -0.078
- magnetization (μB/f.u.) = 0.00
- volume (A^3/atom) = 27.44

=====

Entry from the Alexandria database: an optimized crystal structure of LaCeSc2In4 (PBE).

Cell: 9.1965 9.1965 9.1965 Å, 33.49 33.49 33.49°
Last column: nearest neighbours and their distance in Å.
Element x y z (fractional)
La  0.0000  0.0000  0.0000  8 In 3.26-3.28
Ce  0.5000  0.5000  0.5000  8 In 3.22-3.24
Sc  0.2498  0.2498  0.2498  8 In 3.22-3.29
Sc  0.7502  0.7502  0.7502  8 In 3.22-3.29
In  0.1260  0.1260  0.1260  4 Sc 3.22-3.25, 3 Ce 3.24, 1 La 3.28
In  0.3761  0.3761  0.3761  1 Ce 3.22, 4 Sc 3.24-3.29, 3 La 3.26
In  0.6239  0.6239  0.6239  1 Ce 3.22, 4 Sc 3.24-3.29, 3 La 3.26
In  0.8740  0.8740  0.8740  4 Sc 3.22-3.25, 3 Ce 3.24, 1 La 3.28

Calculated values
- DOS(E_F) (states/eV per atom) = 1.146
- ΔH_f (0 K) (eV/atom) = -0.405
- magnetization (μB/f.u.) = 0.98
- volume (A^3/atom) = 26.37

=====

Entry from the Alexandria database: an optimized crystal structure of LaCeSm2In4 (PBE).

Cell: 9.4975 9.4975 9.4975 Å, 33.51 33.51 33.51°
Last column: nearest neighbours and their distance in Å.
Element x y z (fractional)
La  0.0000  0.0000  0.0000  8 In 3.36-3.38
Ce  0.5000  0.5000  0.5000  8 In 3.33-3.35
Sm  0.2502  0.2502  0.2502  8 In 3.34-3.38
Sm  0.7498  0.7498  0.7498  8 In 3.34-3.38
In  0.1259  0.1259  0.1259  4 Sm 3.34-3.36, 3 Ce 3.35, 1 La 3.38
In  0.3759  0.3759  0.3759  1 Ce 3.33, 4 Sm 3.34-3.38, 3 La 3.36
In  0.6241  0.6241  0.6241  1 Ce 3.33, 4 Sm 3.34-3.38, 3 La 3.36
In  0.8741  0.8741  0.8741  4 Sm 3.34-3.36, 3 Ce 3.35, 1 La 3.38

Calculated values
- DOS(E_F) (states/eV per atom) = 1.250
- ΔH_f (0 K) (eV/atom) = -0.452
- magnetization (μB/f.u.) = 0.94
- volume (A^3/atom) = 29.07

=====

Entry from the Alexandria database: an optimized crystal structure of LaCeSmIn (PBE).

Cell: 5.5491 5.5491 5.5491 Å, 60.00 60.00 60.00°
Last column: nearest neighbours and their distance in Å.
Element x y z (fractional)
La  0.0000  0.0000  0.0000  4 In 3.40, 4 Ce 3.40
Ce  0.7500  0.7500  0.7500  4 Sm 3.40, 4 La 3.40
Sm  0.5000  0.5000  0.5000  4 In 3.40, 4 Ce 3.40
In  0.2500  0.2500  0.2500  4 Sm 3.40, 4 La 3.40

Calculated values
- DOS(E_F) (states/eV per atom) = 1.933
- ΔH_f (0 K) (eV/atom) = -0.092
- magnetization (μB/f.u.) = 0.41
- volume (A^3/atom) = 30.21

=====

Entry from the Alexandria database: an optimized crystal structure of LaCeInSn (PBE).

Cell: 5.5303 5.5303 5.5303 Å, 60.00 60.00 60.00°
Last column: nearest neighbours and their distance in Å.
Element x y z (fractional)
La  0.0000  0.0000  0.0000  4 In 3.39, 4 Sn 3.39
Ce  0.5000  0.5000  0.5000  4 In 3.39, 4 Sn 3.39
In  0.2500  0.2500  0.2500  4 La 3.39, 4 Ce 3.39
Sn  0.7500  0.7500  0.7500  4 La 3.39, 4 Ce 3.39

Calculated values
- DOS(E_F) (states/eV per atom) = 2.071
- energy above the lowest structure with this stoichiometry (meV per atom) = 38
- ΔH_f (0 K) (eV/atom) = -0.500
- magnetization (μB/f.u.) = 1.30
- volume (A^3/atom) = 29.90

=====

Entry from the Alexandria database: an optimized crystal structure of LaCeInSn (PBE).

Cell: 4.1685 4.1685 6.7906 Å, 90.00 90.00 90.00°
Last column: nearest neighbours and their distance in Å.
Element x y z (fractional)
La  0.0000  0.0000  0.0000  2 Ce 3.27-3.52, 4 Sn 3.41, 4 In 3.47
Ce  0.0000  0.0000  0.5184  2 La 3.27-3.52, 4 Sn 3.33, 4 In 3.40
In  0.5000  0.5000  0.2694  2 Sn 3.25-3.54, 4 Ce 3.40, 4 La 3.47
Sn  0.5000  0.5000  0.7475  2 In 3.25-3.54, 4 Ce 3.33, 4 La 3.41

Calculated values
- DOS(E_F) (states/eV per atom) = 1.735
- energy above the lowest structure with this stoichiometry (meV per atom) = 0
- ΔH_f (0 K) (eV/atom) = -0.538
- magnetization (μB/f.u.) = 1.47
- volume (A^3/atom) = 29.50

=====

Entry from the Alexandria database: an optimized crystal structure of LaTb2CeIn4 (PBE).

Cell: 9.4299 9.4299 9.4299 Å, 33.50 33.50 33.50°
Last column: nearest neighbours and their distance in Å.
Element x y z (fractional)
La  0.0000  0.0000  0.0000  8 In 3.34-3.36
Tb  0.2501  0.2501  0.2501  8 In 3.31-3.36
Tb  0.7499  0.7499  0.7499  8 In 3.31-3.36
Ce  0.5000  0.5000  0.5000  8 In 3.31-3.32
In  0.1259  0.1259  0.1259  4 Tb 3.31-3.34, 3 Ce 3.32, 1 La 3.36
In  0.3759  0.3759  0.3759  1 Ce 3.31, 4 Tb 3.32-3.36, 3 La 3.34
In  0.6241  0.6241  0.6241  1 Ce 3.31, 4 Tb 3.32-3.36, 3 La 3.34
In  0.8741  0.8741  0.8741  4 Tb 3.31-3.34, 3 Ce 3.32, 1 La 3.36

Calculated values
- DOS(E_F) (states/eV per atom) = 1.189
- ΔH_f (0 K) (eV/atom) = -0.449
- magnetization (μB/f.u.) = 0.92
- volume (A^3/atom) = 28.44

=====

Entry from the Alexandria database: an optimized crystal structure of LaCeThIn (PBE).

Cell: 5.5682 5.5682 5.5682 Å, 60.00 60.00 60.00°
Last column: nearest neighbours and their distance in Å.
Element x y z (fractional)
La  0.0000  0.0000  0.0000  4 In 3.41, 4 Th 3.41
Ce  0.5000  0.5000  0.5000  4 In 3.41, 4 Th 3.41
Th  0.2500  0.2500  0.2500  4 Ce 3.41, 4 La 3.41
In  0.7500  0.7500  0.7500  4 Ce 3.41, 4 La 3.41

Calculated values
- DOS(E_F) (states/eV per atom) = 2.517
- ΔH_f (0 K) (eV/atom) = -0.014
- magnetization (μB/f.u.) = 1.01
- volume (A^3/atom) = 30.52

=====

Entry from the Alexandria database: an optimized crystal structure of LaCeTlIn (PBE).

Cell: 4.6079 5.0639 5.0716 Å, 90.00 90.00 90.00°
Last column: nearest neighbours and their distance in Å.
Element x y z (fractional)
La  0.0000  0.0000  0.0000  4 Tl 3.42, 4 In 3.43, 4 Ce 3.58
Ce  0.0000  0.5000  0.5000  4 In 3.42, 4 Tl 3.43, 4 La 3.58
Tl  0.5000  0.5000  0.0000  4 La 3.42, 4 Ce 3.43, 4 In 3.58
In  0.5000  0.0000  0.5000  4 Ce 3.42, 4 La 3.43, 4 Tl 3.58

Calculated values
- DOS(E_F) (states/eV per atom) = 2.293
- energy above the lowest structure with this stoichiometry (meV per atom) = 0
- ΔH_f (0 K) (eV/atom) = -0.364
- magnetization (μB/f.u.) = 1.40
- volume (A^3/atom) = 29.59

=====

Entry from the Alexandria database: an optimized crystal structure of LaCeTlIn (PBE).

Cell: 5.5611 5.5611 5.5611 Å, 60.00 60.00 60.00°
Last column: nearest neighbours and their distance in Å.
Element x y z (fractional)
La  0.0000  0.0000  0.0000  4 Tl 3.41, 4 In 3.41
Ce  0.5000  0.5000  0.5000  4 Tl 3.41, 4 In 3.41
Tl  0.7500  0.7500  0.7500  4 Ce 3.41, 4 La 3.41
In  0.2500  0.2500  0.2500  4 La 3.41, 4 Ce 3.41

Calculated values
- DOS(E_F) (states/eV per atom) = 2.307
- energy above the lowest structure with this stoichiometry (meV per atom) = 13
- ΔH_f (0 K) (eV/atom) = -0.351
- magnetization (μB/f.u.) = 1.04
- volume (A^3/atom) = 30.40

=====

Entry from the Alexandria database: an optimized crystal structure of LaCeTmIn (PBE).

Cell: 5.4769 5.4769 5.4769 Å, 60.00 60.00 60.00°
Last column: nearest neighbours and their distance in Å.
Element x y z (fractional)
La  0.0000  0.0000  0.0000  4 In 3.35, 4 Ce 3.35
Ce  0.2500  0.2500  0.2500  4 La 3.35, 4 Tm 3.35
Tm  0.5000  0.5000  0.5000  4 In 3.35, 4 Ce 3.35
In  0.7500  0.7500  0.7500  4 La 3.35, 4 Tm 3.35

Calculated values
- DOS(E_F) (states/eV per atom) = 1.653
- ΔH_f (0 K) (eV/atom) = -0.074
- magnetization (μB/f.u.) = 0.10
- volume (A^3/atom) = 29.04

=====

Which of these has the lowest DOS(E_F)? LaCeSc2In4

=====

Which of these has the highest volume? LaCeThIn

=====

Among the records above, which one has the highest magnetization? number 7

=====

Among the records above, which one has the highest ΔH_f (0 K)? LaCeThIn